A plane-wave DFT calculation with PBE was carried out for CaY2ZnSi after structural relaxation.

Properties
Fermi-level density of states: 1.329 states/eV/atom
Crystal system: tetragonal

Cell lengths 5.628, 5.628, 5.127 Å; angles 90.00, 90.00, 90.00 degrees
Space group P4/mmm (No. 123)
Symmetry-distinct sites (fractional):
Ca  0.000  0.000  0.000
Y  0.000  0.500  0.000
Zn  0.500  0.500  0.500
Si  0.000  0.000  0.500

---

A plane-wave DFT calculation with PBE was carried out for CaZnSi3 after structural relaxation.

Properties
Fermi-level density of states: 0.556 states/eV/atom
Crystal system: cubic

Cell lengths 4.781, 4.781, 4.781 Å; angles 90.00, 90.00, 90.00 degrees
Space group Pm-3m (No. 221)
Symmetry-distinct sites (fractional):
Ca  0.000  0.000  0.000
Zn  0.500  0.500  0.500
Si  0.000  0.500  0.500

---

A plane-wave DFT calculation with PBE was carried out for CaZn4Si3 after structural relaxation.

Properties
Fermi-level density of states: 0.257 states/eV/atom
Crystal system: tetragonal

Cell lengths 4.303, 4.303, 7.761 Å; angles 90.00, 90.00, 90.00 degrees
Space group P4/mmm (No. 123)
Symmetry-distinct sites (fractional):
Ca  0.000  0.000  0.000
Zn  0.000  0.500  0.320
Si  0.000  0.000  0.500
Si  0.500  0.500  0.151

---

A plane-wave DFT calculation with PBE was carried out for Ca2ZnSi2 after structural relaxation.

Properties
Fermi-level density of states: 0.081 states/eV/atom
Relative energy among the computed polymorphs: 37.4 meV per atom
Crystal system: monoclinic

Cell lengths 9.937, 5.846, 7.696 Å; angles 90.00, 101.60, 90.00 degrees
Space group C2/c (No. 15)
Symmetry-distinct sites (fractional):
Ca  0.148  0.136  0.145
Zn  0.000  0.410  0.750
Si  0.138  0.353  0.506

---

A plane-wave DFT calculation with PBE was carried out for CaZn2Si after structural relaxation.

Properties
Fermi-level density of states: 0.485 states/eV/atom
Crystal system: monoclinic

Cell lengths 7.237, 4.163, 5.929 Å; angles 90.00, 113.75, 90.00 degrees
Space group C2/m (No. 12)
Symmetry-distinct sites (fractional):
Ca  0.000  0.000  0.000
Zn  0.216  0.000  0.648
Si  0.000  0.500  0.500

---

A plane-wave DFT calculation with PBE was carried out for CaZn2Si after structural relaxation.

Properties
Fermi-level density of states: 0.186 states/eV/atom
Crystal system: tetragonal

Cell lengths 4.090, 4.090, 9.538 Å; angles 90.00, 90.00, 90.00 degrees
Space group P4/nmm (No. 129, origin choice 2)
Symmetry-distinct sites (fractional):
Ca  0.250  0.250  0.244
Zn  0.250  0.250  0.935
Zn  0.250  0.750  0.500
Si  0.250  0.250  0.661

---

A plane-wave DFT calculation with PBE was carried out for CaZn2Si after structural relaxation.

Properties
Fermi-level density of states: 0.412 states/eV/atom
Crystal system: monoclinic

Cell lengths 5.845, 10.447, 2.924 Å; angles 90.00, 118.84, 90.00 degrees
Space group C2/m (No. 12)
Symmetry-distinct sites (fractional):
Ca  0.000  0.000  0.000
Zn  0.250  0.250  0.500
Si  0.000  0.500  0.000

---

A plane-wave DFT calculation with PBE was carried out for CaZn2Si after structural relaxation.

Properties
Fermi-level density of states: 0.343 states/eV/atom
Crystal system: orthorhombic

Cell lengths 3.230, 3.545, 6.747 Å; angles 90.00, 90.00, 90.00 degrees
Space group Pmm2 (No. 25)
Symmetry-distinct sites (fractional):
Ca  0.000  0.000  0.000
Zn  0.000  0.000  0.484
Zn  0.500  0.500  0.688
Si  0.500  0.500  0.303

---

A plane-wave DFT calculation with PBE was carried out for Ca2Zn5Si after structural relaxation.

Properties
Fermi-level density of states: 0.559 states/eV/atom
Crystal system: orthorhombic

Cell lengths 4.410, 15.981, 8.884 Å; angles 90.00, 90.00, 90.00 degrees
Space group Cmcm (No. 63)
Symmetry-distinct sites (fractional):
Ca  0.000  0.000  0.000
Ca  0.000  0.197  0.250
Zn  0.000  0.188  0.608
Zn  0.000  0.352  0.525
Zn  0.000  0.403  0.250
Si  0.000  0.444  0.750

---

A plane-wave DFT calculation with PBE was carried out for CaZnSi3 after structural relaxation.

Properties
Fermi-level density of states: 1.101 states/eV/atom
Crystal system: cubic

Cell lengths 5.373, 5.373, 5.373 Å; angles 90.00, 90.00, 90.00 degrees
Space group Pm-3m (No. 221)
Symmetry-distinct sites (fractional):
Ca  0.000  0.000  0.000
Zn  0.500  0.500  0.500
Si  0.000  0.000  0.500

---

A plane-wave DFT calculation with PBE was carried out for Ca3ZnSi2 after structural relaxation.

Properties
Fermi-level density of states: 0.319 states/eV/atom
Crystal system: orthorhombic

Cell lengths 11.790, 4.258, 12.003 Å; angles 90.00, 90.00, 90.00 degrees
Space group Pnma (No. 62)
Symmetry-distinct sites (fractional):
Ca  0.059  0.250  0.119
Ca  0.125  0.750  0.561
Ca  0.200  0.250  0.809
Zn  0.130  0.250  0.370
Si  0.031  0.750  0.317
Si  0.194  0.750  0.989

---

A plane-wave DFT calculation with PBE was carried out for CaZn3Si after structural relaxation.

Properties
Fermi-level density of states: 0.306 states/eV/atom
Relative energy among the computed polymorphs: 0.0 meV per atom
Crystal system: monoclinic

Cell lengths 22.668, 4.042, 4.161 Å; angles 90.00, 100.21, 90.00 degrees
Space group C2/m (No. 12)
Symmetry-distinct sites (fractional):
Ca  0.090  0.000  0.338
Zn  0.029  0.500  0.778
Zn  0.205  0.000  0.950
Zn  0.209  0.500  0.455
Si  0.139  0.500  0.885

---

Values for ΔE_f (raw), eV per atom, ordered as above
1.084, 0.475, -0.140, -0.399, -0.145, -0.251, 0.078, -0.065, -0.288, 1.525, -0.422, -0.225